Compound: ScAlCoCu
Source: OQMD
Functional: PBE
Structure: relaxed

POSCAR file:
```
ScAlCoCu
1.0
0.0000 3.0571 3.0571
3.0571 0.0000 3.0571
3.0571 3.0571 0.0000
Sc Al Co Cu
1 1 1 1
direct
0.0000 0.0000 0.0000
0.7500 0.7500 0.7500
0.5000 0.5000 0.5000
0.2500 0.2500 0.2500
```

## Properties
Uncorrected energy in eV/atom: -5.387
Theoretical density in Mg/m³: 5.6
Total moment in Bohr magnetons per cell: 0.6